# 1
{"formula": "ScBrF3", "functional": "PBE", "state": "optimized geometry", "cell": [[4.220, 0.000, 0.000], [0.000, 4.220, 0.000], [0.000, 0.000, 4.220]], "species": ["Sc", "Br", "F", "F", "F"], "frac_coords": [[0.000, 0.000, 0.000], [0.500, 0.500, 0.500], [0.000, 0.500, 0.000], [0.000, 0.000, 0.500], [0.500, 0.000, 0.000]], "dos_at_fermi_per_ev_cell": 7.1, "rho_g_cm3": 4.019, "vol_a3_per_cell": 75.1, "energy_ev_per_atom": -5.442, "e_form_raw_kcal_per_mol_atoms": -62.68}

***

# 2
{"formula": "Li2CdCl4", "functional": "PBE", "state": "optimized geometry", "cell": [[-6.025, -4.605, 0.097], [1.915, -2.119, 7.026], [-1.078, 7.329, -1.624]], "species": ["Li", "Li", "Li", "Li", "Cd", "Cd", "Cl", "Cl", "Cl", "Cl", "Cl", "Cl", "Cl", "Cl"], "frac_coords": [[0.391, 0.141, 0.250], [0.000, 0.000, 0.500], [0.000, 0.500, 0.000], [0.609, 0.859, 0.750], [0.000, 0.500, 0.500], [0.500, 0.500, 0.000], [0.773, 0.255, 0.518], [0.246, 0.250, 0.504], [0.237, 0.255, 0.982], [0.246, 0.742, 0.996], [0.754, 0.258, 0.004], [0.763, 0.745, 0.018], [0.754, 0.750, 0.496], [0.227, 0.745, 0.482]], "de_polymorph_ev_per_fu": 0.00, "dos_at_fermi_per_ev_cell": 0.0, "rho_g_cm3": 2.861, "vol_a3_per_cell": 311.2, "energy_ev_per_atom": -3.234, "e_form_raw_kcal_per_mol_atoms": -34.62}

***

# 3
{"formula": "InCo2As", "functional": "PBE", "state": "optimized geometry", "cell": [[4.540, -0.005, 0.002], [0.671, 4.491, -0.002], [-2.163, -2.757, 2.887]], "species": ["As", "Co", "Co", "In"], "frac_coords": [[0.250, 0.750, 0.500], [0.046, 0.046, 0.000], [0.454, 0.454, 0.000], [0.750, 0.250, 0.500]], "de_polymorph_ev_per_fu": 0.54, "dos_at_fermi_per_ev_cell": 2.5, "rho_g_cm3": 8.677, "formation_energy_ev_per_atom": 0.16, "vol_a3_per_cell": 58.9, "energy_ev_per_atom": -5.237}

***

# 4
{"formula": "BaCa2Pt", "functional": "PBE", "state": "optimized geometry", "cell": [[4.724, 0.000, 0.000], [0.000, 4.731, 0.000], [0.000, 0.000, 5.579]], "species": ["Ca", "Ca", "Ba", "Pt"], "frac_coords": [[0.000, 0.000, 0.000], [0.500, 0.500, 0.000], [0.000, 0.500, 0.500], [0.500, 0.000, 0.500]], "de_polymorph_ev_per_fu": 1.52, "dos_at_fermi_per_ev_cell": 3.8, "rho_g_cm3": 5.494, "formation_energy_ev_per_atom": -0.18, "vol_a3_per_cell": 124.7, "energy_ev_per_atom": -3.175}

***

# 5
{"formula": "TaSbIr2", "functional": "PBE", "state": "optimized geometry", "cell": [[-2.327, -0.297, -1.962], [0.732, -2.939, -0.424], [-4.443, -1.909, 5.559]], "species": ["Ir", "Ir", "Sb", "Ta"], "frac_coords": [[0.000, 0.000, 0.988], [0.500, 0.500, 0.259], [0.000, 0.000, 0.483], [0.500, 0.500, 0.770]], "dos_at_fermi_per_ev_cell": 1.8, "rho_g_cm3": 16.560, "vol_a3_per_cell": 68.9, "energy_ev_per_atom": -8.371, "e_form_raw_kcal_per_mol_atoms": 1.23}

***

# 6
{"formula": "Dy4Zn3Cu", "functional": "PBE", "state": "optimized geometry", "cell": [[3.627, 0.000, 0.000], [0.000, 4.481, 0.000], [0.000, 0.000, 11.219]], "species": ["Dy", "Dy", "Dy", "Dy", "Zn", "Zn", "Zn", "Cu"], "frac_coords": [[0.500, 0.500, 0.344], [0.000, 0.500, 0.856], [0.000, 0.000, 0.147], [0.500, 0.000, 0.653], [0.000, 0.500, 0.569], [0.000, 0.000, 0.429], [0.500, 0.000, 0.931], [0.500, 0.500, 0.070]], "de_polymorph_ev_per_fu": 0.37, "dos_at_fermi_per_ev_cell": 9.7, "rho_g_cm3": 8.286, "formation_energy_ev_per_atom": -0.27, "vol_a3_per_cell": 182.3, "energy_ev_per_atom": -3.562}

***

# 7
{"formula": "TmTh2Sc", "functional": "PBE", "state": "optimized geometry", "cell": [[6.692, 1.730, 1.022], [1.825, 6.734, 0.417], [1.653, 0.575, 11.768]], "species": ["Tm", "Tm", "Tm", "Tm", "Th", "Th", "Th", "Th", "Th", "Th", "Th", "Th", "Sc", "Sc", "Sc", "Sc"], "frac_coords": [[0.141, 0.080, 0.376], [0.859, 0.920, 0.624], [0.114, 0.919, 0.121], [0.886, 0.081, 0.879], [0.604, 0.917, 0.129], [0.396, 0.083, 0.871], [0.644, 0.086, 0.373], [0.356, 0.914, 0.627], [0.894, 0.583, 0.874], [0.106, 0.417, 0.126], [0.850, 0.420, 0.628], [0.150, 0.580, 0.372], [0.361, 0.423, 0.623], [0.639, 0.577, 0.377], [0.391, 0.576, 0.874], [0.609, 0.424, 0.126]], "de_polymorph_ev_per_fu": 0.11, "dos_at_fermi_per_ev_cell": 22.7, "rho_g_cm3": 9.334, "formation_energy_ev_per_atom": 0.06, "vol_a3_per_cell": 482.4, "energy_ev_per_atom": -6.351}

***

# 8
{"formula": "PuSb4Pd6", "functional": "PBE", "state": "optimized geometry", "cell": [[6.924, -0.161, -0.237], [-3.344, 6.065, 0.237], [-3.344, -2.009, 5.728]], "species": ["Pu", "Sb", "Sb", "Sb", "Sb", "Pd", "Pd", "Pd", "Pd", "Pd", "Pd"], "frac_coords": [[0.000, 0.000, 0.000], [0.000, 0.123, 0.564], [0.559, 0.436, 0.436], [0.000, 0.564, 0.123], [0.441, 0.877, 0.877], [0.000, 0.766, 0.458], [0.000, 0.458, 0.766], [0.691, 0.234, 0.234], [0.500, 0.000, 0.500], [0.309, 0.542, 0.542], [0.500, 0.500, 0.000]], "dos_at_fermi_per_ev_cell": 17.5, "rho_g_cm3": 9.699, "vol_a3_per_cell": 234.5, "energy_ev_per_atom": -6.070, "e_form_raw_kcal_per_mol_atoms": -10.06}

***

# 9
{"formula": "Na3Hf2NpTe6", "functional": "PBE", "state": "optimized geometry", "cell": [[7.307, -0.011, -0.006], [-3.661, 6.323, -0.006], [-1.222, -2.117, 7.709]], "species": ["Na", "Na", "Na", "Hf", "Hf", "Np", "Te", "Te", "Te", "Te", "Te", "Te"], "frac_coords": [[0.158, 0.842, 0.500], [0.842, 0.158, 0.500], [0.500, 0.500, 0.500], [0.330, 0.670, 0.000], [0.670, 0.330, 0.000], [0.000, 0.000, 0.000], [0.923, 0.571, 0.772], [0.722, 0.722, 0.224], [0.077, 0.429, 0.228], [0.571, 0.923, 0.772], [0.278, 0.278, 0.776], [0.429, 0.077, 0.228]], "dos_at_fermi_per_ev_cell": 14.0, "rho_g_cm3": 6.669, "vol_a3_per_cell": 355.7, "energy_ev_per_atom": -5.448, "e_form_raw_kcal_per_mol_atoms": -18.68}

***

# 10
{"formula": "Tb2GaTc", "functional": "PBE", "state": "optimized geometry", "cell": [[3.563, 0.000, 0.000], [0.000, 3.563, 0.000], [0.000, 0.000, 6.888]], "species": ["Tb", "Tb", "Tc", "Ga"], "frac_coords": [[0.000, 0.000, 0.764], [0.000, 0.000, 0.236], [0.500, 0.500, 0.000], [0.500, 0.500, 0.500]], "dos_at_fermi_per_ev_cell": 5.5, "rho_g_cm3": 9.220, "formation_energy_ev_per_atom": -0.25, "vol_a3_per_cell": 87.5, "energy_ev_per_atom": -5.912}

***

# 11
{"formula": "Nb2SiAg", "functional": "PBE", "state": "optimized geometry", "cell": [[-6.585, -0.040, 3.050], [-1.785, -5.834, -3.931], [-3.249, -4.570, 1.559]], "species": ["Nb", "Nb", "Nb", "Nb", "Si", "Si", "Ag", "Ag"], "frac_coords": [[0.602, 0.125, 0.250], [0.148, 0.625, 0.250], [0.375, 0.398, 0.750], [0.875, 0.852, 0.750], [0.500, 0.500, 0.000], [0.250, 0.750, 0.500], [0.000, 0.000, 0.000], [0.750, 0.250, 0.500]], "dos_at_fermi_per_ev_cell": 6.6, "rho_g_cm3": 7.390, "vol_a3_per_cell": 144.6, "energy_ev_per_atom": -6.839, "e_form_raw_kcal_per_mol_atoms": 6.10}

***

# 12
{"formula": "Mg2TlBr", "functional": "PBE", "state": "optimized geometry", "cell": [[6.374, 0.012, -0.021], [2.901, 5.675, 0.021], [-3.832, -4.158, 2.942]], "species": ["Br", "Mg", "Mg", "Tl"], "frac_coords": [[0.789, 0.289, 0.500], [0.985, 0.985, 0.000], [0.230, 0.730, 0.500], [0.495, 0.495, 0.000]], "de_polymorph_ev_per_fu": 0.43, "dos_at_fermi_per_ev_cell": 2.0, "rho_g_cm3": 5.183, "vol_a3_per_cell": 106.6, "energy_ev_per_atom": -2.064, "e_form_raw_kcal_per_mol_atoms": -5.92}